1.
Here is a relaxed BaIn crystal from Alexandria. Energies are from PBE-GGA.

Unit cell a=4.090 b=5.353 c=7.490 alpha=90.00 beta=90.00 gamma=90.00
Sites, in units of the cell vectors:
Ba1 0.500 0.500 0.692
Ba2 0.000 0.000 0.058
In1 0.500 0.500 0.235
In2 0.000 0.000 0.515

Energy of formation (meV/atom): -163
Symmetry: Pmmn (59)
Calculated volume (Å³ per cell): 164.0

2.
Here is a relaxed Nd3Y2ScTe6 crystal from Alexandria. Energies are from PBE-GGA.

Unit cell a=4.360 b=8.888 c=9.876 alpha=103.98 beta=102.75 gamma=90.00
Sites, in units of the cell vectors:
Te1 0.000 0.233 0.001
Te2 0.669 0.578 0.338
Nd1 0.500 0.500 0.000
Te3 0.000 0.767 0.999
Y1 0.833 0.666 0.666
Nd2 0.171 0.837 0.343
Te4 0.342 0.913 0.684
Te5 0.658 0.087 0.316
Te6 0.331 0.422 0.662
Nd3 0.829 0.163 0.657
Y2 0.167 0.334 0.334
Sc1 0.500 0.000 0.000

Symmetry: C2/m (12)
Calculated volume (Å³ per cell): 361.7
Formation energy without anion corrections (kJ per mole of atoms): -128.3

3.
Here is a relaxed BeZnP3 crystal from Alexandria. Energies are from PBE-GGA.

Unit cell a=4.276 b=4.276 c=4.276 alpha=90.00 beta=90.00 gamma=90.00
Sites, in units of the cell vectors:
Zn1 0.500 0.500 0.500
P1 0.000 0.000 0.500
P2 0.500 0.000 0.000
Be1 0.000 0.000 0.000
P3 0.000 0.500 0.000

Energy of formation (meV/atom): 707
Symmetry: Pm-3m (221)
Energy relative to the lowest polymorph listed for this composition (eV/atom): 0.000
Calculated volume (Å³ per cell): 78.2

4.
Here is a relaxed DyTh2Al crystal from Alexandria. Energies are from PBE-GGA.

Unit cell a=3.366 b=3.366 c=12.034 alpha=81.96 beta=81.96 gamma=60.00
Sites, in units of the cell vectors:
Th1 0.907 0.907 0.280
Th2 0.093 0.093 0.720
Dy1 0.000 0.000 0.000
Al1 0.500 0.500 0.500

Energy of formation (meV/atom): 199
Symmetry: R-3m (166)
Energy relative to the lowest polymorph listed for this composition (eV/atom): 0.330
Calculated volume (Å³ per cell): 116.5

5.
Here is a relaxed TcPt4Au crystal from Alexandria. Energies are from PBE-GGA.

Unit cell a=5.263 b=5.263 c=5.263 alpha=60.00 beta=60.00 gamma=60.00
Site moments in Bohr magnetons follow the coordinates.
Sites, in units of the cell vectors:
Pt1 0.875 0.375 0.375  0.13
Pt2 0.375 0.375 0.375  0.13
Pt3 0.375 0.875 0.375  0.13
Tc1 0.750 0.750 0.750  2.90
Pt4 0.375 0.375 0.875  0.13
Au1 0.000 0.000 0.000  0.03

Energy of formation (meV/atom): 272
Symmetry: F-43m (216)
Energy relative to the lowest polymorph listed for this composition (eV/atom): 0.331
Calculated volume (Å³ per cell): 103.1

6.
Here is a relaxed CeHoCoNi crystal from Alexandria. Energies are from PBE-GGA.

Unit cell a=4.761 b=4.761 c=4.761 alpha=60.00 beta=60.00 gamma=60.00
Sites, in units of the cell vectors:
Ho1 0.000 0.000 0.000
Co1 0.250 0.250 0.250
Ce1 0.500 0.500 0.500
Ni1 0.750 0.750 0.750

Energy of formation (meV/atom): -215
Symmetry: F-43m (216)
Calculated volume (Å³ per cell): 76.3

7.
Here is a relaxed PmEuHo crystal from Alexandria. Energies are from PBE-GGA.

Unit cell a=3.665 b=3.665 c=9.001 alpha=90.00 beta=90.00 gamma=120.00
Site moments in Bohr magnetons follow the coordinates.
Sites, in units of the cell vectors:
Pm1 0.667 0.333 0.346  -0.04
Ho1 0.333 0.667 0.658  -0.03
Eu1 0.000 0.000 0.996  6.99

Energy of formation (meV/atom): 49
Symmetry: P3m1 (156)
Calculated volume (Å³ per cell): 104.7

8.
Here is a relaxed CaTePd crystal from Alexandria. Energies are from PBE-GGA.

Unit cell a=8.657 b=4.648 c=4.649 alpha=119.99 beta=74.42 gamma=90.00
Sites, in units of the cell vectors:
Ca1 0.308 0.681 0.526
Ca2 0.758 0.532 0.226
Te1 0.009 0.114 0.392
Pd1 0.150 0.401 0.965
Pd2 0.963 0.797 0.756
Te2 0.506 0.282 0.728

Symmetry: R3m (160)
Calculated volume (Å³ per cell): 154.0
Formation energy without anion corrections (kJ per mole of atoms): -95.8

9.
Here is a relaxed MnZnN crystal from Alexandria. Energies are from PBE-GGA.

Unit cell a=3.003 b=3.003 c=4.916 alpha=107.79 beta=107.79 gamma=90.00
Site moments in Bohr magnetons follow the coordinates.
Sites, in units of the cell vectors:
Mn1 0.981 0.981 0.963  3.48
Zn1 0.675 0.675 0.350  0.00
N1 0.194 0.194 0.388  -0.03

Symmetry: I4mm (107)
Energy relative to the lowest polymorph listed for this composition (eV/atom): 0.843
Calculated volume (Å³ per cell): 40.0
Formation energy without anion corrections (kJ per mole of atoms): 67.5

10.
Here is a relaxed YPRuO2 crystal from Alexandria. Energies are from PBE-GGA.

Unit cell a=4.140 b=4.140 c=5.891 alpha=90.00 beta=90.00 gamma=90.00
Site moments in Bohr magnetons follow the coordinates.
Sites, in units of the cell vectors:
P1 0.000 0.000 0.500  0.12
O1 0.000 0.500 0.000  0.47
Y1 0.000 0.000 0.000  0.04
O2 0.500 0.000 0.000  0.47
Ru1 0.500 0.500 0.500  2.72

Symmetry: P4/mmm (123)
Energy relative to the lowest polymorph listed for this composition (eV/atom): 0.822
Calculated volume (Å³ per cell): 100.9
Formation energy without anion corrections (kJ per mole of atoms): -19.8

11.
Here is a relaxed LuHfZrSc crystal from Alexandria. Energies are from PBE-GGA.

Unit cell a=5.176 b=5.176 c=5.176 alpha=60.00 beta=60.00 gamma=60.00
Site moments in Bohr magnetons follow the coordinates.
Sites, in units of the cell vectors:
Zr1 0.500 0.500 0.500  -0.61
Lu1 0.250 0.250 0.250  -0.20
Sc1 0.000 0.000 0.000  -0.13
Hf1 0.750 0.750 0.750  -0.51

Energy of formation (meV/atom): 191
Symmetry: F-43m (216)
Calculated volume (Å³ per cell): 98.1

12.
Here is a relaxed Sc5PaSb6 crystal from Alexandria. Energies are from PBE-GGA.

Unit cell a=7.277 b=7.275 c=7.273 alpha=59.99 beta=80.37 gamma=70.46
Sites, in units of the cell vectors:
Pa1 0.000 0.000 0.000
Sb1 0.743 0.086 0.341
Sc1 0.500 0.163 0.675
Sc2 0.000 0.668 0.664
Sb2 0.251 0.258 0.000
Sb3 0.257 0.574 0.341
Sb4 0.257 0.914 0.659
Sb5 0.743 0.426 0.659
Sb6 0.749 0.742 0.000
Sc3 0.000 0.332 0.336
Sc4 0.500 0.500 0.000
Sc5 0.500 0.837 0.325

Symmetry: C2/m (12)
Calculated volume (Å³ per cell): 314.3
Formation energy without anion corrections (kJ per mole of atoms): -82.7

Question: The highest calculated volume belongs to which entry?
Answer: Nd3Y2ScTe6

Copy entry 7 word for word.
Here is a relaxed PmEuHo crystal from Alexandria. Energies are from PBE-GGA.

Unit cell a=3.665 b=3.665 c=9.001 alpha=90.00 beta=90.00 gamma=120.00
Site moments in Bohr magnetons follow the coordinates.
Sites, in units of the cell vectors:
Pm1 0.667 0.333 0.346  -0.04
Ho1 0.333 0.667 0.658  -0.03
Eu1 0.000 0.000 0.996  6.99

Energy of formation (meV/atom): 49
Symmetry: P3m1 (156)
Calculated volume (Å³ per cell): 104.7